Compound: Mo2IrRuS
Source: the Alexandria database
Functional: PBE
Structure: optimized geometry

Values from the calculation:
theoretical density: 9067 kg/m3
DOS(E_F): 8.4 states/eV per cell
formation energy from raw total energies: 1627.7 meV/atom

Cell lengths 4.724, 4.724, 4.245 Å; angles 90.00, 90.00, 90.00 degrees
Space group P4/mmm (No. 123)
Unique sites:
Mo1 0.000 0.500 0.000
Ir1 0.000 0.000 0.500
Ru1 0.500 0.500 0.000
S1 0.500 0.500 0.500

=====

Compound: SiMoIrRu2
Source: the Alexandria database
Functional: PBE
Structure: optimized geometry

Values from the calculation:
theoretical density: 8294 kg/m3
DOS(E_F): 6.5 states/eV per cell
formation energy from raw total energies: 1806.5 meV/atom

Cell lengths 4.694, 4.694, 4.710 Å; angles 90.00, 90.00, 90.00 degrees
Space group P4/mmm (No. 123)
Unique sites:
Si1 0.000 0.000 0.000
Mo1 0.500 0.500 0.000
Ir1 0.500 0.500 0.500
Ru1 0.000 0.500 0.500

=====

Compound: SiMoIr2Ru
Source: the Alexandria database
Functional: PBE
Structure: optimized geometry

Values from the calculation:
theoretical density: 12075 kg/m3
DOS(E_F): 6.3 states/eV per cell
formation energy from raw total energies: 804.8 meV/atom

Cell lengths 4.394, 4.394, 4.342 Å; angles 90.00, 90.00, 90.00 degrees
Space group P4/mmm (No. 123)
Unique sites:
Si1 0.000 0.000 0.000
Mo1 0.500 0.500 0.500
Ir1 0.000 0.500 0.000
Ru1 0.000 0.000 0.500

=====

Compound: Mo2Ir5RuW
Source: the Alexandria database
Functional: PBE
Structure: optimized geometry

Values from the calculation:
theoretical density: 16365 kg/m3
DOS(E_F): 44.8 states/eV per cell
electronic total energy: -333.144 eV/cell

Cell lengths 7.387, 7.387, 10.694 Å; angles 90.00, 90.00, 90.00 degrees
Space group I4/mcm (No. 140)
Unique sites:
Mo1 0.111 0.389 0.000
Ir1 0.000 0.000 0.000
Ir2 0.200 0.300 0.368
Ru1 0.000 0.500 0.250
W1 0.000 0.000 0.250

=====

Copy entry 3 word for word.
Compound: SiMoIr2Ru
Source: the Alexandria database
Functional: PBE
Structure: optimized geometry

Values from the calculation:
theoretical density: 12075 kg/m3
DOS(E_F): 6.3 states/eV per cell
formation energy from raw total energies: 804.8 meV/atom

Cell lengths 4.394, 4.394, 4.342 Å; angles 90.00, 90.00, 90.00 degrees
Space group P4/mmm (No. 123)
Unique sites:
Si1 0.000 0.000 0.000
Mo1 0.500 0.500 0.500
Ir1 0.000 0.500 0.000
Ru1 0.000 0.000 0.500

=====

> The lowest DOS(E_F) belongs to which entry?

SiMoIr2Ru

=====

> What is the theoretical density in the first record?

9067 kg/m3